No. 1
{"formula": "LuTiInCu", "functional": "PBE-GGA", "state": "relaxed", "total_energy_ev_per_fu": -19.6, "sg": "F-43m (216)", "density_g_cm3": 8.33, "delta_e_f_ev_per_atom": -0.10, "cell": [[0.000, 3.419, 3.419], [3.419, 0.000, 3.419], [3.419, 3.419, 0.000]], "species": ["Lu", "Ti", "In", "Cu"], "frac_coords": [[0.000, 0.000, 0.000], [0.500, 0.500, 0.500], [0.750, 0.750, 0.750], [0.250, 0.250, 0.250]]}

No. 2
{"formula": "TmLuInCu", "functional": "PBE-GGA", "state": "relaxed", "total_energy_ev_per_fu": -17.1, "sg": "F-43m (216)", "density_g_cm3": 9.43, "delta_e_f_ev_per_atom": -0.32, "cell": [[0.000, 3.583, 3.583], [3.583, 0.000, 3.583], [3.583, 3.583, 0.000]], "species": ["Tm", "Lu", "In", "Cu"], "frac_coords": [[0.000, 0.000, 0.000], [0.500, 0.500, 0.500], [0.750, 0.750, 0.750], [0.250, 0.250, 0.250]]}

No. 3
{"formula": "YLuInCu", "functional": "PBE-GGA", "state": "relaxed", "total_energy_ev_per_fu": -19.1, "sg": "F-43m (216)", "density_g_cm3": 7.78, "delta_e_f_ev_per_atom": -0.32, "cell": [[0.000, 3.614, 3.614], [3.614, 0.000, 3.614], [3.614, 3.614, 0.000]], "species": ["Y", "Lu", "In", "Cu"], "frac_coords": [[0.000, 0.000, 0.000], [0.500, 0.500, 0.500], [0.250, 0.250, 0.250], [0.750, 0.750, 0.750]]}